Entry from Alexandria: a relaxed structure of Sr2Ag2Rh (PBE).

The space group is P4/mbm (No. 127) and the conventional cell measures 8.112, 8.112 and 4.271 Å, with angles of 90.00, 90.00 and 90.00 degrees. Symmetry generates all atoms from Sr at (0.178, 0.322, 0.000), Ag at (0.122, 0.622, 0.500) and Rh at (0.000, 0.000, 0.000).

The volume is 28.10 A^3/atom. The calculation puts the total energy at -31.20 eV/cell.